Entry 1:
A relaxed structure of Cd2SbPb. Source: the Alexandria database, functional PBE.

Calculated values
ΔE to the lowest computed polymorph, meV per atom: 21
DOS(E_F), states/eV/f.u.: 2.0
Symmetry: Immm
E_form (uncorrected), eV/f.u.: 0.33

Cell: 5.7782 5.7782 5.7782 Å, 135.78 124.28 73.74°
Last column: nearest neighbours and their distance in Å.
Positions (direct):
Cd  0.4916  0.4916  0.0000  2 Sb 3.12, 2 Pb 3.23, 4 Cd 3.47
Cd  0.0084  0.0084  0.0000  2 Sb 3.12, 2 Pb 3.23, 4 Cd 3.47
Pb  0.7500  0.2500  0.5000  8 Cd 3.23-3.50, 4 Sb 3.47
Sb  0.2500  0.7500  0.5000  4 Cd 3.12, 4 Pb 3.47


Entry 2:
A relaxed structure of LaTm4S5. Source: the Alexandria database, functional PBE.

Calculated values
DOS(E_F), states/eV/f.u.: 5.0
Symmetry: Immm
E_form (uncorrected), eV/f.u.: -19.52

Cell: 3.8805 5.5451 10.3774 Å, 105.50 100.78 90.00°
Last column: nearest neighbours and their distance in Å.
Positions (direct):
La  0.0000  0.0000  0.0000  6 S 2.77-2.89
Tm  0.7965  0.7965  0.5929  6 S 2.68-2.77
Tm  0.2035  0.2035  0.4071  6 S 2.68-2.77
Tm  0.5993  0.5993  0.1985  6 S 2.75-2.78
Tm  0.4007  0.4007  0.8015  6 S 2.75-2.78
S  0.3907  0.8907  0.7814  4 Tm 2.68-2.78, 2 La 2.89
S  0.6093  0.1093  0.2186  4 Tm 2.68-2.78, 2 La 2.89
S  0.1983  0.6983  0.3967  6 Tm 2.73-2.77
S  0.0000  0.5000  0.0000  4 Tm 2.75, 2 La 2.77
S  0.8017  0.3017  0.6033  6 Tm 2.73-2.77


Entry 3:
A relaxed structure of GeB. Source: the Alexandria database, functional PBE.

Calculated values
ΔE to the lowest computed polymorph, meV per atom: 0
DOS(E_F), states/eV/f.u.: 0.8
Formation energy from the elements, meV/atom: 378
Symmetry: Pmma

Cell: 3.1605 3.4221 5.2267 Å, 90.00 90.00 90.00°
Last column: nearest neighbours and their distance in Å.
Positions (direct):
Ge  0.7500  0.0000  0.8085  2 B 2.14
Ge  0.2500  0.0000  0.1915  2 B 2.14
B  0.7500  0.5000  0.5615  2 B 1.71
B  0.2500  0.5000  0.4385  2 B 1.71